# 1
Here is a relaxed structure of SmDyPu2Te5 from the Alexandria database. Energies are from PBE-GGA.

Output
Spin magnetization   11.93 μB per cell
ΔE_f (raw)   -695 meV per atom

Unit cell a=5.526 b=5.526 c=11.695 alpha=90.00 beta=90.00 gamma=90.00
Space group P4/mmm (No. 123)
Asymmetric unit:
1 Sm 0.000 0.000 0.000 [1 per cell]
2 Dy 0.000 0.000 0.500 [1 per cell]
3 Pu 0.500 0.500 0.322 [2 per cell]
4 Te 0.000 0.000 0.247 [2 per cell]
5 Te 0.000 0.500 0.500 [2 per cell]
6 Te 0.500 0.500 0.000 [1 per cell]

***

# 2
Here is a relaxed structure of V3SbBr from the Alexandria database. Energies are from PBE-GGA.

Output
Spin magnetization   0.00 μB per cell
ΔE_f (raw)   876 meV per atom

Unit cell a=4.505 b=4.505 c=4.505 alpha=90.00 beta=90.00 gamma=90.00
Space group Pm-3m (No. 221)
Asymmetric unit:
1 V 0.000 0.000 0.500 [3 per cell]
2 Sb 0.500 0.500 0.500 [1 per cell]
3 Br 0.000 0.000 0.000 [1 per cell]

***

# 3
Here is a relaxed structure of TaIn3Pt12 from the Alexandria database. Energies are from PBE-GGA.

Output
Energy of formation from the pure elements   -503 meV per atom
Spin magnetization   0.00 μB per cell

Unit cell a=4.038 b=4.038 c=16.126 alpha=90.00 beta=90.00 gamma=90.00
Space group P4/mmm (No. 123)
Asymmetric unit:
1 Ta 0.000 0.000 0.000 [1 per cell]
2 In 0.000 0.000 0.251 [2 per cell]
3 In 0.000 0.000 0.500 [1 per cell]
4 Pt 0.000 0.500 0.118 [4 per cell]
5 Pt 0.000 0.500 0.375 [4 per cell]
6 Pt 0.500 0.500 0.000 [1 per cell]
7 Pt 0.500 0.500 0.246 [2 per cell]
8 Pt 0.500 0.500 0.500 [1 per cell]

***

Please write out number 2 again, unchanged.
Here is a relaxed structure of V3SbBr from the Alexandria database. Energies are from PBE-GGA.

Output
Spin magnetization   0.00 μB per cell
ΔE_f (raw)   876 meV per atom

Unit cell a=4.505 b=4.505 c=4.505 alpha=90.00 beta=90.00 gamma=90.00
Space group Pm-3m (No. 221)
Asymmetric unit:
1 V 0.000 0.000 0.500 [3 per cell]
2 Sb 0.500 0.500 0.500 [1 per cell]
3 Br 0.000 0.000 0.000 [1 per cell]